1.
The following is a PBE-GGA calculation of a relaxed structure of NbCI2, from Alexandria.

Cell: 4.8404 4.8404 4.8404 Å, 60.00 60.00 60.00°
With the nearest neighbours (Å) after each atom.
Fractional coordinates of all 4 atoms:
Nb 0.0000 0.0000 0.0000  8 I 2.96
C 0.5000 0.5000 0.5000  8 I 2.96
I 0.2500 0.2500 0.2500  4 Nb 2.96, 4 C 2.96
I 0.7500 0.7500 0.7500  4 Nb 2.96, 4 C 2.96

As for the formation energy (no corrections): 1663 meV per atom. As for the symmetry: Fm-3m.

2.
The following is a PBE-GGA calculation of a relaxed structure of Ti8PbC2, from Alexandria.

Cell: 7.6524 7.6524 7.6524 Å, 144.38 140.14 54.52°
With the nearest neighbours (Å) after each atom.
Fractional coordinates of all 11 atoms:
Ti 0.1135 0.1135 0.0000  1 C 2.08
Ti 0.1566 0.3966 0.7600  1 C 2.17
Ti 0.2713 0.7713 0.5000  2 C 2.34
Ti 0.3635 0.6034 0.7600  1 C 2.17
Ti 0.6365 0.3966 0.2400  1 C 2.17
Ti 0.7287 0.2287 0.5000  2 C 2.34
Ti 0.8434 0.6034 0.2400  1 C 2.17
Ti 0.8865 0.8865 0.0000  1 C 2.08
Pb 0.5000 0.0000 0.5000  14 Ti 3.00-3.11
C 0.2666 0.2666 0.0000  3 Ti 2.08-2.17
C 0.7334 0.7334 0.0000  3 Ti 2.08-2.17

The electronic total energy comes out at -85.9 eV for the cell shown. As for the symmetry: Immm.

3.
The following is a PBE-GGA calculation of a relaxed structure of ZnCrAu2, from Alexandria.

Cell: 4.5528 4.5528 4.5528 Å, 60.00 60.00 60.00°
With the nearest neighbours (Å) after each atom.
Fractional coordinates of all 4 atoms:
Zn 0.0000 0.0000 0.0000  4 Cr 2.79, 4 Au 2.79
Cr 0.7500 0.7500 0.7500  4 Zn 2.79, 4 Au 2.79
Au 0.2500 0.2500 0.2500  4 Zn 2.79, 4 Au 2.79
Au 0.5000 0.5000 0.5000  4 Cr 2.79, 4 Au 2.79

The electronic total energy comes out at -17.2 eV for the cell shown. As for the symmetry: F-43m.

4.
The following is a PBE-GGA calculation of a relaxed structure of TlMoIr2, from Alexandria.

Cell: 9.3958 9.3958 9.3958 Å, 17.83 17.83 17.83°
With the nearest neighbours (Å) after each atom.
Fractional coordinates of all 4 atoms:
Tl 0.0000 0.0000 0.0000  6 Tl 2.91, 6 Ir 3.03
Mo 0.5000 0.5000 0.5000  6 Ir 2.69, 6 Mo 2.91
Ir 0.2424 0.2424 0.2424  3 Mo 2.69, 6 Ir 2.91
Ir 0.7576 0.7576 0.7576  3 Mo 2.69, 6 Ir 2.91

The electronic total energy comes out at -29.9 eV for the cell shown. As for the symmetry: R-3m.

5.
The following is a PBE-GGA calculation of a relaxed structure of ScHg2Bi, from Alexandria.

Cell: 6.6622 6.6622 6.6622 Å, 101.65 101.65 126.59°
With the nearest neighbours (Å) after each atom.
Fractional coordinates of all 8 atoms:
Sc 0.0000 0.0000 0.0000  4 Hg 2.99, 2 Bi 2.99
Sc 0.7500 0.2500 0.5000  4 Hg 2.99, 2 Bi 2.99
Hg 0.1110 0.1250 0.4860  2 Sc 2.99, 2 Hg 3.00, 2 Bi 3.15
Hg 0.3750 0.8890 0.0140  2 Sc 2.99, 2 Hg 3.00, 2 Bi 3.15
Hg 0.6390 0.6250 0.5140  2 Sc 2.99, 2 Hg 3.00, 2 Bi 3.15
Hg 0.8750 0.3610 0.9860  2 Sc 2.99, 2 Hg 3.00, 2 Bi 3.15
Bi 0.2500 0.7500 0.5000  2 Sc 2.99, 4 Hg 3.15
Bi 0.5000 0.5000 0.0000  2 Sc 2.99, 4 Hg 3.15

The electronic total energy comes out at -22.8 eV for the cell shown. As for the symmetry: I-42d.

6.
The following is a PBE-GGA calculation of a relaxed structure of CaCr3, from Alexandria.

Cell: 8.7142 8.7142 8.7142 Å, 19.09 19.09 19.09°
With the nearest neighbours (Å) after each atom.
Fractional coordinates of all 4 atoms:
Ca 0.0000 0.0000 0.0000  6 Ca 2.89, 6 Cr 3.08
Cr 0.2322 0.2322 0.2322  3 Cr 2.37
Cr 0.5000 0.5000 0.5000  6 Cr 2.37
Cr 0.7678 0.7678 0.7678  3 Cr 2.37

The electronic total energy comes out at -27.4 eV for the cell shown. As for the symmetry: R-3m.

7.
The following is a PBE-GGA calculation of a relaxed structure of AlZnAsSe2, from Alexandria.

Cell: 4.8783 4.8783 4.9639 Å, 90.00 90.00 90.00°
With the nearest neighbours (Å) after each atom.
Fractional coordinates of all 5 atoms:
Al 0.0000 0.0000 0.0000  4 Se 2.44, 2 As 2.48
Zn 0.5000 0.5000 0.5000  4 As 3.45, 8 Se 3.48
As 0.0000 0.0000 0.5000  2 Al 2.48
Se 0.0000 0.5000 0.0000  2 Al 2.44
Se 0.5000 0.0000 0.0000  2 Al 2.44

As for the formation energy (no corrections): 340 meV per atom. As for the symmetry: P4/mmm.

8.
The following is a PBE-GGA calculation of a relaxed structure of K2RhBr, from Alexandria.

Cell: 5.7086 5.7086 5.7086 Å, 60.00 60.00 60.00°
With the nearest neighbours (Å) after each atom.
Fractional coordinates of all 4 atoms:
K 0.2500 0.2500 0.2500  4 Br 3.50, 4 Rh 3.50
K 0.7500 0.7500 0.7500  4 Br 3.50, 4 Rh 3.50
Rh 0.0000 0.0000 0.0000  8 K 3.50
Br 0.5000 0.5000 0.5000  8 K 3.50

As for the formation energy (no corrections): 44 meV per atom. As for the symmetry: Fm-3m.